This record from Alexandria via LeMat-Bulk describes crystalline ZrPt2W at its relaxed geometry. The functional is GGA-PBE.

CIF file:
```
data_ZrPt2W
_cell_length_a 5.702
_cell_length_b 8.237
_cell_length_c 2.845
_cell_angle_alpha 90.00
_cell_angle_beta 90.00
_cell_angle_gamma 90.00
_symmetry_space_group_name_H-M 'C m m m'
_symmetry_Int_Tables_number 65
_symmetry_space_group_name_Hall '-C 2 2'
loop_
_atom_site_label
_atom_site_type_symbol
_atom_site_fract_x
_atom_site_fract_y
_atom_site_fract_z
_atom_site_occupancy
Zr1 Zr 0.000 0.000 0.000 1
Pt1 Pt 0.250 0.250 0.500 1
W1 W 0.000 0.500 0.000 1
```

Output
E, eV/atom: -8.92
Formation energy from the elements, eV/atom: -0.53

***

This record from Alexandria via LeMat-Bulk describes crystalline SbMo2Pt at its relaxed geometry. The functional is GGA-PBE.

CIF file:
```
data_SbMo2Pt
_cell_length_a 5.962
_cell_length_b 5.962
_cell_length_c 11.591
_cell_angle_alpha 90.00
_cell_angle_beta 90.00
_cell_angle_gamma 90.00
_symmetry_space_group_name_H-M 'I -4 2 d'
_symmetry_Int_Tables_number 122
_symmetry_space_group_name_Hall 'I -4 2bw'
loop_
_atom_site_label
_atom_site_type_symbol
_atom_site_fract_x
_atom_site_fract_y
_atom_site_fract_z
_atom_site_occupancy
Sb1 Sb 0.000 0.000 0.000 1
Mo1 Mo 0.216 0.250 0.625 1
Pt1 Pt 0.000 0.000 0.500 1
```

Output
E, eV/atom: -6.95
E_form (uncorrected), eV/atom: 1.004

***

This record from Alexandria via LeMat-Bulk describes crystalline FeGeRh2 at its relaxed geometry. The functional is GGA-PBE.

CIF file:
```
data_FeGeRh2
_cell_length_a 5.328
_cell_length_b 5.328
_cell_length_c 10.865
_cell_angle_alpha 90.00
_cell_angle_beta 90.00
_cell_angle_gamma 90.00
_symmetry_space_group_name_H-M 'I -4 2 d'
_symmetry_Int_Tables_number 122
_symmetry_space_group_name_Hall 'I -4 2bw'
loop_
_atom_site_label
_atom_site_type_symbol
_atom_site_fract_x
_atom_site_fract_y
_atom_site_fract_z
_atom_site_occupancy
Fe1 Fe 0.000 0.000 0.000 1
Ge1 Ge 0.000 0.000 0.500 1
Rh1 Rh 0.227 0.250 0.125 1
```

Output
E, eV/atom: -6.33
Formation energy from the elements, eV/atom: 0.61

***

This record from Alexandria via LeMat-Bulk describes crystalline Tl7Hg4Bi at its relaxed geometry. The functional is GGA-PBE.

CIF file:
```
data_Tl7Hg4Bi
_cell_length_a 5.5148
_cell_length_b 5.5148
_cell_length_c 13.7758
_cell_angle_alpha 90.00
_cell_angle_beta 90.00
_cell_angle_gamma 120.00
_symmetry_space_group_name_H-M 'P -3 m 1'
_symmetry_Int_Tables_number 164
_symmetry_space_group_name_Hall '-P 3 2"'
loop_
_atom_site_label
_atom_site_type_symbol
_atom_site_fract_x
_atom_site_fract_y
_atom_site_fract_z
_atom_site_occupancy
Tl1 Tl 0.0000 0.0000 0.0000 1
Tl2 Tl 0.0000 0.0000 0.2583 1
Tl3 Tl 0.3333 0.6667 0.1415 1
Tl4 Tl 0.3333 0.6667 0.4096 1
Hg1 Hg 0.3333 0.6667 0.6665 1
Hg2 Hg 0.3333 0.6667 0.9010 1
Bi1 Bi 0.0000 0.0000 0.5000 1
```

Output
Excess energy over the best structure of this formula in the dataset, meV/atom: 0
E, eV/atom: -1.81
Formation energy from the elements, eV/atom: -0.01

***

This record from Alexandria via LeMat-Bulk describes crystalline SrCrTe2I at its relaxed geometry. The functional is GGA-PBE.

CIF file:
```
data_SrCrTe2I
_cell_length_a 5.406
_cell_length_b 5.406
_cell_length_c 5.587
_cell_angle_alpha 90.00
_cell_angle_beta 90.00
_cell_angle_gamma 90.00
_symmetry_space_group_name_H-M 'P 4/m m m'
_symmetry_Int_Tables_number 123
_symmetry_space_group_name_Hall '-P 4 2'
loop_
_atom_site_label
_atom_site_type_symbol
_atom_site_fract_x
_atom_site_fract_y
_atom_site_fract_z
_atom_site_occupancy
Sr1 Sr 0.000 0.000 0.000 1
Cr1 Cr 0.500 0.500 0.500 1
Te1 Te 0.000 0.500 0.500 1
I1 I 0.500 0.500 0.000 1
```

Output
E, eV/atom: -4.40
E_form (uncorrected), eV/atom: -0.572

***

This record from Alexandria via LeMat-Bulk describes crystalline Mg3NbCd at its relaxed geometry. The functional is GGA-PBE.

CIF file:
```
data_Mg3NbCd
_cell_length_a 5.501
_cell_length_b 5.501
_cell_length_c 5.501
_cell_angle_alpha 90.00
_cell_angle_beta 90.00
_cell_angle_gamma 90.00
_symmetry_space_group_name_H-M 'P m -3 m'
_symmetry_Int_Tables_number 221
_symmetry_space_group_name_Hall '-P 4 2 3'
loop_
_atom_site_label
_atom_site_type_symbol
_atom_site_fract_x
_atom_site_fract_y
_atom_site_fract_z
_atom_site_occupancy
Mg1 Mg 0.000 0.000 0.500 1
Nb1 Nb 0.000 0.000 0.000 1
Cd1 Cd 0.500 0.500 0.500 1
```

Output
Excess energy over the best structure of this formula in the dataset, meV/atom: 128
E, eV/atom: -2.09
Formation energy from the elements, eV/atom: 1.07

***

This record from Alexandria via LeMat-Bulk describes crystalline CaY3Co at its relaxed geometry. The functional is GGA-PBE.

CIF file:
```
data_CaY3Co
_cell_length_a 5.462
_cell_length_b 5.462
_cell_length_c 5.462
_cell_angle_alpha 90.00
_cell_angle_beta 90.00
_cell_angle_gamma 90.00
_symmetry_space_group_name_H-M 'P m -3 m'
_symmetry_Int_Tables_number 221
_symmetry_space_group_name_Hall '-P 4 2 3'
loop_
_atom_site_label
_atom_site_type_symbol
_atom_site_fract_x
_atom_site_fract_y
_atom_site_fract_z
_atom_site_occupancy
Ca1 Ca 0.000 0.000 0.000 1
Y1 Y 0.000 0.000 0.500 1
Co1 Co 0.500 0.500 0.500 1
```

Output
Excess energy over the best structure of this formula in the dataset, meV/atom: 1579
E, eV/atom: -4.18
Formation energy from the elements, eV/atom: 1.52

***

This record from Alexandria via LeMat-Bulk describes crystalline PaB2Os4 at its relaxed geometry. The functional is GGA-PBE.

CIF file:
```
data_PaB2Os4
_cell_length_a 3.848
_cell_length_b 13.152
_cell_length_c 3.815
_cell_angle_alpha 90.00
_cell_angle_beta 90.00
_cell_angle_gamma 90.00
_symmetry_space_group_name_H-M 'C m m m'
_symmetry_Int_Tables_number 65
_symmetry_space_group_name_Hall '-C 2 2'
loop_
_atom_site_label
_atom_site_type_symbol
_atom_site_fract_x
_atom_site_fract_y
_atom_site_fract_z
_atom_site_occupancy
Pa1 Pa 0.000 0.000 0.000 1
B1 B 0.000 0.427 0.500 1
Os1 Os 0.000 0.176 0.500 1
Os2 Os 0.000 0.320 0.000 1
```

Output
E, eV/atom: -10.00
Formation energy from the elements, eV/atom: -0.32

***

This record from Alexandria via LeMat-Bulk describes crystalline Dy2TlSn at its relaxed geometry. The functional is GGA-PBE.

CIF file:
```
data_Dy2TlSn
_cell_length_a 3.504
_cell_length_b 3.504
_cell_length_c 8.733
_cell_angle_alpha 90.00
_cell_angle_beta 90.00
_cell_angle_gamma 90.00
_symmetry_space_group_name_H-M 'P 4/m m m'
_symmetry_Int_Tables_number 123
_symmetry_space_group_name_Hall '-P 4 2'
loop_
_atom_site_label
_atom_site_type_symbol
_atom_site_fract_x
_atom_site_fract_y
_atom_site_fract_z
_atom_site_occupancy
Dy1 Dy 0.000 0.000 0.249 1
Tl1 Tl 0.500 0.500 0.500 1
Sn1 Sn 0.500 0.500 0.000 1
```

Output
E, eV/atom: -4.36
Formation energy from the elements, eV/atom: -0.47

***

This record from Alexandria via LeMat-Bulk describes crystalline Pr3YSc2Te6 at its relaxed geometry. The functional is GGA-PBE.

CIF file:
```
data_Pr3YSc2Te6
_cell_length_a 19.246
_cell_length_b 4.327
_cell_length_c 8.890
_cell_angle_alpha 90.00
_cell_angle_beta 105.03
_cell_angle_gamma 90.00
_symmetry_space_group_name_H-M 'C 1 2/m 1'
_symmetry_Int_Tables_number 12
_symmetry_space_group_name_Hall '-C 2y'
loop_
_atom_site_label
_atom_site_type_symbol
_atom_site_fract_x
_atom_site_fract_y
_atom_site_fract_z
_atom_site_occupancy
Pr1 Pr 0.000 0.000 0.000 1
Pr2 Pr 0.162 0.500 0.328 1
Y1 Y 0.000 0.000 0.500 1
Sc1 Sc 0.167 0.500 0.832 1
Te1 Te 0.009 0.500 0.746 1
Te2 Te 0.166 0.000 0.600 1
Te3 Te 0.173 0.000 0.066 1
```

Output
E, eV/atom: -5.66
E_form (uncorrected), eV/atom: -1.301

***

This record from Alexandria via LeMat-Bulk describes crystalline CaY2Ir at its relaxed geometry. The functional is GGA-PBE.

CIF file:
```
data_CaY2Ir
_cell_length_a 4.1131
_cell_length_b 4.1131
_cell_length_c 27.0124
_cell_angle_alpha 90.00
_cell_angle_beta 90.00
_cell_angle_gamma 120.00
_symmetry_space_group_name_H-M 'R 3 m'
_symmetry_Int_Tables_number 160
_symmetry_space_group_name_Hall 'R 3 -2"'
loop_
_atom_site_label
_atom_site_type_symbol
_atom_site_fract_x
_atom_site_fract_y
_atom_site_fract_z
_atom_site_occupancy
Ca1 Ca 0.0000 0.0000 0.0000 1
Y1 Y 0.0000 0.0000 0.5504 1
Y2 Y 0.0000 0.0000 0.7787 1
Ir1 Ir 0.0000 0.0000 0.1645 1
```

Output
Excess energy over the best structure of this formula in the dataset, meV/atom: 7
E, eV/atom: -6.34
Formation energy from the elements, eV/atom: -0.40

***

This record from Alexandria via LeMat-Bulk describes crystalline Cs2HoInTe4 at its relaxed geometry. The functional is GGA-PBE.

CIF file:
```
data_Cs2HoInTe4
_cell_length_a 6.927
_cell_length_b 16.013
_cell_length_c 28.218
_cell_angle_alpha 90.00
_cell_angle_beta 90.00
_cell_angle_gamma 90.00
_symmetry_space_group_name_H-M 'F d d d'
_symmetry_Int_Tables_number 70
loop_
_symmetry_equiv_pos_as_xyz
'x,y,z'
'-x,-y,-z'
'-x+1/4,-y+1/4,z'
'x+1/4,y+1/4,-z'
'x,-y+1/4,-z+1/4'
'-x,y+1/4,z+1/4'
'-x+1/4,y,-z+1/4'
'x+1/4,-y,z+1/4'
'x,y+1/2,z+1/2'
'-x,-y+1/2,-z+1/2'
'-x+1/4,-y+3/4,z+1/2'
'x+1/4,y+3/4,-z+1/2'
'x,-y+3/4,-z+3/4'
'-x,y+3/4,z+3/4'
'-x+1/4,y+1/2,-z+3/4'
'x+1/4,-y+1/2,z+3/4'
'x+1/2,y,z+1/2'
'-x+1/2,-y,-z+1/2'
'-x+3/4,-y+1/4,z+1/2'
'x+3/4,y+1/4,-z+1/2'
'x+1/2,-y+1/4,-z+3/4'
'-x+1/2,y+1/4,z+3/4'
'-x+3/4,y,-z+3/4'
'x+3/4,-y,z+3/4'
'x+1/2,y+1/2,z'
'-x+1/2,-y+1/2,-z'
'-x+3/4,-y+3/4,z'
'x+3/4,y+3/4,-z'
'x+1/2,-y+3/4,-z+1/4'
'-x+1/2,y+3/4,z+1/4'
'-x+3/4,y+1/2,-z+1/4'
'x+3/4,-y+1/2,z+1/4'
loop_
_atom_site_label
_atom_site_type_symbol
_atom_site_fract_x
_atom_site_fract_y
_atom_site_fract_z
_atom_site_occupancy
Cs1 Cs 0.125 0.125 0.307 1
Ho1 Ho 0.125 0.125 0.125 1
In1 In 0.125 0.125 0.625 1
Te1 Te 0.116 0.270 0.819 1
```

Output
E, eV/atom: -3.68
E_form (uncorrected), eV/atom: -0.981